Material: TlI2NF
Method: DFT, PBE
State: relaxed

The structure belongs to space group P4/mmm (No. 123); the cell edges are 6.781, 6.781 and 3.445 Å and the angles 90.00°, 90.00° and 90.00°. The asymmetric unit holds Tl at (0.000, 0.000, 0.000), I at (0.000, 0.500, 0.500), N at (0.500, 0.500, 0.000) and F at (0.500, 0.500, 0.500).

Its offset from the most stable computed form is 0 meV per atom. The density of states at the Fermi level comes out at 2.31 states/eV/cell. The magnetic moment is 1.8 μB per cell. The uncorrected formation energy is 3.16 eV per formula unit.

Material: TaSiSb2
Method: DFT, PBE
State: relaxed

The structure belongs to space group I-4m2 (No. 119); the cell edges are 4.217, 4.217 and 9.385 Å and the angles 90.00°, 90.00° and 90.00°. The asymmetric unit holds Ta at (0.000, 0.000, 0.000), Si at (0.000, 0.500, 0.250), Sb at (0.000, 0.000, 0.500) and Sb at (0.000, 0.500, 0.750).

The density of states at the Fermi level comes out at 6.10 states/eV/cell. The magnetic moment is 0.0 μB per cell. The uncorrected formation energy is 2.23 eV per formula unit.

Material: KMgAs2
Method: DFT, PBE
State: relaxed

The structure belongs to space group Cm (No. 8); the cell edges are 8.722, 3.637 and 7.751 Å and the angles 90.00°, 117.34° and 90.00°. The asymmetric unit holds K at (0.000, 0.000, 0.000), Mg at (0.222, 0.000, 0.521), As at (0.068, 0.500, 0.663) and As at (0.376, 0.500, 0.374).

Its formation enthalpy at 0 K is -300 meV/atom. The density of states at the Fermi level comes out at 4.32 states/eV/cell. The magnetic moment is 0.0 μB per cell.

Material: HfBAu
Method: DFT, PBE
State: relaxed

The structure belongs to space group Cm (No. 8); the cell edges are 8.987, 3.158 and 6.634 Å and the angles 90.00°, 91.25° and 90.00°. The asymmetric unit holds Hf at (0.000, 0.000, 0.000), Hf at (0.233, 0.500, 0.653), B at (0.209, 0.500, 0.005), B at (0.278, 0.000, 0.934), Au at (0.008, 0.000, 0.494) and Au at (0.282, 0.000, 0.279).

Its formation enthalpy at 0 K is -356 meV/atom. The density of states at the Fermi level comes out at 6.46 states/eV/cell. The magnetic moment is 0.0 μB per cell.

Material: LiPr4Co
Method: DFT, PBE
State: relaxed

The structure belongs to space group C2/m (No. 12); the cell edges are 15.237, 7.457 and 6.462 Å and the angles 90.00°, 100.63° and 90.00°. The asymmetric unit holds Li at (0.180, 0.000, 0.204), Pr at (0.000, 0.245, 0.000), Pr at (0.122, 0.259, 0.570), Pr at (0.197, 0.500, 0.110) and Co at (0.022, 0.500, 0.307).

Its formation enthalpy at 0 K is 62 meV/atom. Its offset from the most stable computed form is 90 meV per atom. The density of states at the Fermi level comes out at 27.29 states/eV/cell. The magnetic moment is 0.0 μB per cell.

Material: AcCe2Er
Method: DFT, PBE
State: relaxed

The structure belongs to space group P4/mmm (No. 123); the cell edges are 3.623, 3.623 and 10.182 Å and the angles 90.00°, 90.00° and 90.00°. The asymmetric unit holds Ac at (0.000, 0.000, 0.000), Ce at (0.500, 0.500, 0.263) and Er at (0.000, 0.000, 0.500).

Its formation enthalpy at 0 K is 163 meV/atom. Its offset from the most stable computed form is 13 meV per atom. The density of states at the Fermi level comes out at 11.40 states/eV/cell. The magnetic moment is 2.1 μB per cell.

Material: Ac6As5
Method: DFT, PBE
State: relaxed

The structure belongs to space group C2/m (No. 12); the cell edges are 7.830, 13.555 and 7.837 Å and the angles 90.00°, 109.51° and 90.00°. The asymmetric unit holds Ac at (0.245, 0.000, 0.255), Ac at (0.246, 0.170, 0.748), As at (0.000, 0.000, 0.500), As at (0.000, 0.166, 0.000) and As at (0.000, 0.333, 0.500).

Its formation enthalpy at 0 K is -1323 meV/atom. The density of states at the Fermi level comes out at 12.77 states/eV/cell. The magnetic moment is 0.8 μB per cell.

Material: Hf3Zr3ScN8
Method: DFT, PBE
State: relaxed

The structure belongs to space group R-3m (No. 166, hexagonal axes); the cell edges are 6.4016, 6.4016 and 15.7551 Å and the angles 90.00°, 90.00° and 120.00°. The asymmetric unit holds Hf at (0.0000, 0.5000, 0.0000), Zr at (0.0000, 0.5000, 0.5000), Sc at (0.0000, 0.0000, 0.0000), N at (0.0000, 0.0000, 0.2528) and N at (0.0073, 0.5037, 0.7456).

The density of states at the Fermi level comes out at 12.52 states/eV/cell. The magnetic moment is 0.0 μB per cell. The uncorrected formation energy is -25.40 eV per formula unit.

Material: GaTc2AgGe
Method: DFT, PBE
State: relaxed

The structure belongs to space group P4/mmm (No. 123); the cell edges are 4.665, 4.665 and 4.703 Å and the angles 90.00°, 90.00° and 90.00°. The asymmetric unit holds Ga at (0.000, 0.000, 0.000), Tc at (0.000, 0.500, 0.500), Ag at (0.500, 0.500, 0.000) and Ge at (0.000, 0.000, 0.500).

Its formation enthalpy at 0 K is 1181 meV/atom. The density of states at the Fermi level comes out at 4.00 states/eV/cell. The magnetic moment is 3.7 μB per cell.

Material: Sm3Ag5F12
Method: DFT, PBE
State: relaxed

The structure belongs to space group Ia-3d (No. 230); the cell edges are 13.950, 13.950 and 13.950 Å and the angles 90.00°, 90.00° and 90.00°. The asymmetric unit holds Sm at (0.000, 0.250, 0.125), Ag at (0.000, 0.000, 0.000), Ag at (0.000, 0.250, 0.375) and F at (0.012, 0.086, 0.653).

The density of states at the Fermi level comes out at 42.11 states/eV/cell. The magnetic moment is 0.0 μB per cell. The uncorrected formation energy is -47.31 eV per formula unit.

Material: RuC3
Method: DFT, PBE
State: relaxed

The structure belongs to space group R-3m (No. 166, hexagonal axes); the cell edges are 2.6299, 2.6299 and 15.4848 Å and the angles 90.00°, 90.00° and 120.00°. The asymmetric unit holds Ru at (0.0000, 0.0000, 0.0000), C at (0.0000, 0.0000, 0.2293) and C at (0.0000, 0.0000, 0.5000).

Its formation enthalpy at 0 K is 1904 meV/atom. Its offset from the most stable computed form is 998 meV per atom. The density of states at the Fermi level comes out at 5.92 states/eV/cell. The magnetic moment is 0.0 μB per cell.

Material: Mg4AgPd
Method: DFT, PBE
State: relaxed

The structure belongs to space group P4/mmm (No. 123); the cell edges are 3.256, 3.256 and 10.835 Å and the angles 90.00°, 90.00° and 90.00°. The asymmetric unit holds Mg at (0.000, 0.000, 0.140), Mg at (0.500, 0.500, 0.343), Ag at (0.000, 0.000, 0.500) and Pd at (0.500, 0.500, 0.000).

Its formation enthalpy at 0 K is -338 meV/atom. Its offset from the most stable computed form is 0 meV per atom. The density of states at the Fermi level comes out at 2.41 states/eV/cell. The magnetic moment is 0.0 μB per cell.